Compound: MnPPt
Source: Alexandria via LeMat-Bulk
Functional: GGA-PBE
Structure: optimized geometry

The structure in POSCAR format:
```
MnPPt
1.0
-2.6580 -0.9110 0.0677
2.0533 -1.5737 1.0985
-0.7563 2.5873 5.1201
Pt Mn P
1 1 1
Cartesian
-0.0180 0.3607 4.1458 Pt
-0.0260 0.0888 0.1758 Mn
-1.3170 -0.3469 1.9647 P
```

## Properties
Space group: P3m1
Energy relative to the elements (kJ/mol of atoms): -6.7